! Sb3PW, PBEsol geometry, DFT meta-GGA SCAN; values from VASP
! Space group: Pm-3m, No. 221
&SYSTEM
  ibrav = 0, nat = 5, ntyp = 3
/
ATOMIC_SPECIES
W 183.84 W.upf
Sb 121.76 Sb.upf
P 30.97 P.upf
ATOMIC_POSITIONS crystal
W 0.5000 0.5000 0.5000
Sb 0.0000 0.5000 0.0000
Sb 0.5000 0.0000 0.0000
Sb 0.0000 0.0000 0.5000
P 0.0000 0.0000 0.0000
CELL_PARAMETERS angstrom
-1.1571 2.4813 -4.1412
-4.2269 1.5367 2.1018
2.3324 4.0159 1.7545

=====

! Sb2PW, PBEsol geometry, DFT meta-GGA SCAN; values from VASP
! Space group: C2/m, No. 12
&SYSTEM
  ibrav = 0, nat = 4, ntyp = 3
/
ATOMIC_SPECIES
W 183.84 W.upf
Sb 121.76 Sb.upf
P 30.97 P.upf
ATOMIC_POSITIONS crystal
W 0.5000 0.5000 0.5000
Sb 0.0000 0.5000 0.0000
Sb 0.0000 0.0000 0.5000
P 0.5000 0.0000 0.0000
CELL_PARAMETERS angstrom
-2.0807 0.2601 2.4562
0.7845 -4.8577 0.3489
4.0127 1.5674 2.4033

=====

! SbP4W, PBEsol geometry, DFT meta-GGA SCAN; values from VASP
! Space group: F-43m, No. 216
&SYSTEM
  ibrav = 0, nat = 6, ntyp = 3
/
ATOMIC_SPECIES
P 30.97 P.upf
W 183.84 W.upf
Sb 121.76 Sb.upf
ATOMIC_POSITIONS crystal
P 0.1187 0.6271 0.6271
P 0.6271 0.6271 0.1187
P 0.6271 0.6271 0.6271
P 0.6271 0.1187 0.6271
W 0.0000 0.0000 0.0000
Sb 0.2500 0.2500 0.2500
CELL_PARAMETERS angstrom
-5.0681 -0.1281 -0.1657
-2.4036 -4.4091 -0.7152
-2.6093 -2.1121 3.8026

=====

! SbPW2, PBEsol geometry, DFT meta-GGA SCAN; values from VASP
! Space group: I-4m2, No. 119
&SYSTEM
  ibrav = 0, nat = 4, ntyp = 3
/
ATOMIC_SPECIES
Sb 121.76 Sb.upf
P 30.97 P.upf
W 183.84 W.upf
ATOMIC_POSITIONS crystal
Sb 0.2500 0.5000 0.7500
P 0.5000 0.0000 0.5000
W 0.7500 0.5000 0.2500
W 0.0000 0.0000 0.0000
CELL_PARAMETERS angstrom
-3.9124 -1.1832 0.8198
2.5404 -2.9673 -2.7582
0.8838 -0.1007 4.0728

=====

! YSbP, PBEsol geometry, DFT meta-GGA SCAN; values from VASP
! Space group: F-43m, No. 216
&SYSTEM
  ibrav = 0, nat = 3, ntyp = 3
/
ATOMIC_SPECIES
Y 88.91 Y.upf
P 30.97 P.upf
Sb 121.76 Sb.upf
ATOMIC_POSITIONS crystal
Y 0.5000 0.5000 0.5000
P 0.7500 0.7500 0.7500
Sb 0.0000 0.0000 0.0000
CELL_PARAMETERS angstrom
4.6977 0.0000 0.0000
2.3488 4.0683 0.0000
2.3488 1.3561 3.8356

=====

! YSb3P, PBEsol geometry, DFT meta-GGA SCAN; values from VASP
! Space group: Pm-3m, No. 221
&SYSTEM
  ibrav = 0, nat = 5, ntyp = 3
/
ATOMIC_SPECIES
Y 88.91 Y.upf
P 30.97 P.upf
Sb 121.76 Sb.upf
ATOMIC_POSITIONS crystal
Y 0.5000 0.5000 0.5000
P 0.0000 0.0000 0.0000
Sb 0.0000 0.0000 0.5000
Sb 0.5000 0.0000 0.0000
Sb 0.0000 0.5000 0.0000
CELL_PARAMETERS angstrom
-0.6200 0.3637 5.0861
-5.0981 0.0593 -0.6257
-0.1030 -5.1234 0.3538

=====

! YSb2P, PBEsol geometry, DFT meta-GGA SCAN; values from VASP
! Space group: I4/mmm, No. 139
&SYSTEM
  ibrav = 0, nat = 4, ntyp = 3
/
ATOMIC_SPECIES
Y 88.91 Y.upf
Sb 121.76 Sb.upf
P 30.97 P.upf
ATOMIC_POSITIONS crystal
Y 0.5000 0.5000 0.0000
Sb 0.2500 0.7500 0.5000
Sb 0.7500 0.2500 0.5000
P 0.0000 0.0000 0.0000
CELL_PARAMETERS angstrom
-0.3367 -4.1612 -0.3106
1.7418 -0.4233 3.7832
-5.4891 2.5132 0.4921

=====

! Y2SbP, PBEsol geometry, DFT meta-GGA SCAN; values from VASP
! Space group: R-3m, No. 166
&SYSTEM
  ibrav = 0, nat = 4, ntyp = 3
/
ATOMIC_SPECIES
P 30.97 P.upf
Y 88.91 Y.upf
Sb 121.76 Sb.upf
ATOMIC_POSITIONS crystal
P 0.0000 0.0000 0.0000
Y 0.2584 0.2584 0.2247
Y 0.7416 0.7416 0.7753
Sb 0.5000 0.5000 0.5000
CELL_PARAMETERS angstrom
4.1026 0.0000 0.0000
2.0513 3.5530 0.0000
2.0513 1.1843 6.8777

=====

! YSb2P, PBEsol geometry, DFT meta-GGA SCAN; values from VASP
! Space group: P4/mmm, No. 123
&SYSTEM
  ibrav = 0, nat = 4, ntyp = 3
/
ATOMIC_SPECIES
P 30.97 P.upf
Sb 121.76 Sb.upf
Y 88.91 Y.upf
ATOMIC_POSITIONS crystal
P 0.0000 0.0000 0.5000
Sb 0.5000 0.0000 0.0000
Sb 0.0000 0.5000 0.0000
Y 0.5000 0.5000 0.5000
CELL_PARAMETERS angstrom
4.1023 0.0000 0.0000
0.0000 4.1023 0.0000
0.0000 0.0000 5.6746

=====

! Zn2SbP, PBEsol geometry, DFT meta-GGA SCAN; values from VASP
! Space group: Immm, No. 71
&SYSTEM
  ibrav = 0, nat = 4, ntyp = 3
/
ATOMIC_SPECIES
Zn 65.41 Zn.upf
P 30.97 P.upf
Sb 121.76 Sb.upf
ATOMIC_POSITIONS crystal
Zn 0.2164 0.7836 0.7836
Zn 0.7836 0.2164 0.2164
P 0.5000 0.0000 0.0000
Sb 0.0000 0.5000 0.5000
CELL_PARAMETERS angstrom
3.5837 0.0000 0.0000
1.7918 4.7193 0.0019
1.7918 1.7541 4.3813

=====

! ZnSbP2, PBEsol geometry, DFT meta-GGA SCAN; values from VASP
! Space group: P4/mmm, No. 123
&SYSTEM
  ibrav = 0, nat = 4, ntyp = 3
/
ATOMIC_SPECIES
P 30.97 P.upf
Zn 65.41 Zn.upf
Sb 121.76 Sb.upf
ATOMIC_POSITIONS crystal
P 0.0000 0.5000 0.0000
P 0.0000 0.0000 0.5000
Zn 0.5000 0.0000 0.0000
Sb 0.5000 0.5000 0.5000
CELL_PARAMETERS angstrom
-1.9428 -1.2160 2.4654
1.7241 -4.1664 -0.6963
3.3030 0.8609 3.0274

=====

! ZnSbP2, PBEsol geometry, DFT meta-GGA SCAN; values from VASP
! Space group: R3m, No. 160
&SYSTEM
  ibrav = 0, nat = 4, ntyp = 3
/
ATOMIC_SPECIES
P 30.97 P.upf
Sb 121.76 Sb.upf
Zn 65.41 Zn.upf
ATOMIC_POSITIONS crystal
P 0.7239 0.7239 0.8284
P 0.0051 0.0051 0.9848
Sb 0.5082 0.5082 0.4755
Zn 0.2629 0.2629 0.2114
CELL_PARAMETERS angstrom
-1.8037 -2.3454 -1.4474
1.2429 -3.0246 -0.3956
-3.1665 -3.9600 6.6149

=====

! Zn2SbP, PBEsol geometry, DFT meta-GGA SCAN; values from VASP
! Space group: Fm-3m, No. 225
&SYSTEM
  ibrav = 0, nat = 4, ntyp = 3
/
ATOMIC_SPECIES
P 30.97 P.upf
Sb 121.76 Sb.upf
Zn 65.41 Zn.upf
ATOMIC_POSITIONS crystal
P 0.0000 0.0000 0.0000
Sb 0.5000 0.5000 0.5000
Zn 0.2500 0.2500 0.2500
Zn 0.7500 0.7500 0.7500
CELL_PARAMETERS angstrom
-1.0511 -0.1141 -4.5406
-3.7114 -2.4058 -1.4738
-3.7626 2.2548 -1.5790

=====

! Zn2SbP, PBEsol geometry, DFT meta-GGA SCAN; values from VASP
! Space group: C2/m, No. 12
&SYSTEM
  ibrav = 0, nat = 4, ntyp = 3
/
ATOMIC_SPECIES
P 30.97 P.upf
Zn 65.41 Zn.upf
Sb 121.76 Sb.upf
ATOMIC_POSITIONS crystal
P 0.5000 0.0000 0.0000
Zn 0.0000 0.5000 0.0000
Zn 0.0000 0.0000 0.5000
Sb 0.5000 0.5000 0.5000
CELL_PARAMETERS angstrom
4.1780 0.0125 0.0187
-1.1928 4.4051 0.0116
-1.1928 -1.6732 4.0750

=====

! Zn2SbP, PBEsol geometry, DFT meta-GGA SCAN; values from VASP
! Space group: Pmm2, No. 25
&SYSTEM
  ibrav = 0, nat = 4, ntyp = 3
/
ATOMIC_SPECIES
Sb 121.76 Sb.upf
P 30.97 P.upf
Zn 65.41 Zn.upf
ATOMIC_POSITIONS crystal
Sb 0.5000 0.5000 0.8053
P 0.0000 0.0000 0.3858
Zn 0.5000 0.5000 0.2811
Zn 0.0000 0.0000 0.0277
CELL_PARAMETERS angstrom
3.0740 0.0000 0.0000
0.0000 3.7705 0.0000
0.0000 0.0000 6.6117

=====

| no. | ΔE_f (raw) (meV/atom) |
| --- | --- |
| 1 | 1538 |
| 2 | 945 |
| 3 | 1190 |
| 4 | 750 |
| 5 | -494 |
| 6 | 131 |
| 7 | -493 |
| 8 | -1545 |
| 9 | -451 |
| 10 | 315 |
| 11 | 621 |
| 12 | 196 |
| 13 | 484 |
| 14 | 250 |
| 15 | 184 |